A relaxed LiAlI2 crystal, computed with GGA-PBEsol.

Energy relative to the elements, uncorrected = -397 meV/atom

Cell lengths 5.4536, 5.4536, 5.4536 Å; angles 60.00, 60.00, 60.00 degrees
Atoms (fractional coordinates):
1 I 0.7500 0.7500 0.7500
2 I 0.2500 0.2500 0.2500
3 Al 0.5000 0.5000 0.5000
4 Li 0.0000 0.0000 0.0000

---

A relaxed Na2ZnAg2 crystal, computed with GGA-PBEsol.

Calculated formation energy = 0.066 eV per atom
Fermi-level density of states = 0.310 states/eV per atom

Cell lengths 4.7612, 6.6899, 6.6899 Å; angles 90.00, 90.00, 90.00 degrees
Atoms (fractional coordinates):
1 Ag 0.0000 0.6434 0.1434
2 Ag 0.0000 0.1434 0.3566
3 Ag 0.0000 0.8566 0.6434
4 Ag 0.0000 0.3566 0.8566
5 Na 0.5000 0.3299 0.1701
6 Na 0.5000 0.8299 0.3299
7 Na 0.5000 0.6701 0.8299
8 Na 0.5000 0.1701 0.6701
9 Zn 0.0000 0.5000 0.5000
10 Zn 0.0000 0.0000 0.0000

---

A relaxed K2BaY crystal, computed with GGA-PBEsol.

Calculated formation energy = 0.273 eV per atom
Polymorph energy (0 for the lowest one) = 0.0 meV per atom
Fermi-level density of states = 1.071 states/eV per atom

Cell lengths 3.8921, 3.8921, 14.0518 Å; angles 90.00, 90.00, 109.78 degrees
Atoms (fractional coordinates):
1 Y 0.0000 0.0000 0.4882
2 K 0.0000 0.0000 0.0088
3 K 0.5000 0.5000 0.7245
4 Ba 0.5000 0.5000 0.2785

---

A relaxed InCuMo2O8 crystal, computed with GGA-PBEsol.

Energy relative to the elements, uncorrected = -1705 meV/atom

Cell lengths 4.9299, 7.4739, 7.4739 Å; angles 101.10, 90.81, 90.81 degrees
Atoms (fractional coordinates):
1 Mo 0.7533 0.8285 0.6483
2 Mo 0.2467 0.1715 0.3517
3 Mo 0.7467 0.3517 0.1715
4 Mo 0.2533 0.6483 0.8285
5 O 0.4457 0.9036 0.8038
6 O 0.0626 0.6916 0.5858
7 O 0.9457 0.8038 0.9036
8 O 0.0922 0.4281 0.8037
9 O 0.5922 0.8037 0.4281
10 O 0.4078 0.1963 0.5719
11 O 0.9078 0.5719 0.1963
12 O 0.8962 0.0553 0.6842
13 O 0.5543 0.0964 0.1962
14 O 0.0543 0.1962 0.0964
15 O 0.4374 0.4142 0.3084
16 O 0.6038 0.3158 0.9447
17 O 0.3962 0.6842 0.0553
18 O 0.5626 0.5858 0.6916
19 O 0.1038 0.9447 0.3158
20 O 0.9374 0.3084 0.4142
21 Cu 0.2500 0.6599 0.3401
22 Cu 0.7500 0.3401 0.6599
23 In 0.2500 0.1558 0.8442
24 In 0.7500 0.8442 0.1558

---

A relaxed RbSc2InMo crystal, computed with GGA-PBEsol.

Calculated formation energy = 1.769 eV per atom
Fermi-level density of states = 1.360 states/eV per atom

Cell lengths 4.7057, 4.8839, 4.8839 Å; angles 90.00, 90.00, 90.00 degrees
Atoms (fractional coordinates):
1 Mo 0.5000 0.0000 0.0000
2 Sc 0.0000 0.0000 0.5000
3 Sc 0.0000 0.5000 0.0000
4 Rb 0.0000 0.0000 0.0000
5 In 0.5000 0.5000 0.5000

---

A relaxed CaAuCl2 crystal, computed with GGA-PBEsol.

Polymorph energy (0 for the lowest one) = 23.2 meV per atom
Energy relative to the elements, uncorrected = -1041 meV/atom
Fermi-level density of states = 0.274 states/eV per atom

Cell lengths 3.8211, 4.5870, 4.5870 Å; angles 90.00, 90.00, 90.00 degrees
Atoms (fractional coordinates):
1 Au 0.5000 0.5000 0.5000
2 Cl 0.0000 0.0000 0.5000
3 Cl 0.0000 0.5000 0.0000
4 Ca 0.5000 0.0000 0.0000

---

A relaxed ScZn4Au crystal, computed with GGA-PBEsol.

Calculated formation energy = -0.247 eV per atom
Fermi-level density of states = 0.608 states/eV per atom

Cell lengths 5.0711, 5.0711, 5.0711 Å; angles 60.00, 60.00, 60.00 degrees
Atoms (fractional coordinates):
1 Zn 0.6254 0.6254 0.1237
2 Zn 0.1237 0.6254 0.6254
3 Zn 0.6254 0.6254 0.6254
4 Zn 0.6254 0.1237 0.6254
5 Sc 0.0000 0.0000 0.0000
6 Au 0.2500 0.2500 0.2500

---

A relaxed Be3Ir crystal, computed with GGA-PBEsol.

Calculated formation energy = -0.492 eV per atom
Fermi-level density of states = 0.140 states/eV per atom

Cell lengths 2.8783, 3.5826, 4.3362 Å; angles 114.40, 109.38, 90.00 degrees
Atoms (fractional coordinates):
1 Ir 0.0000 0.5000 0.0000
2 Be 0.7547 0.7547 0.5095
3 Be 0.5000 0.0000 0.0000
4 Be 0.2453 0.2453 0.4905

---

A relaxed InPtAu2 crystal, computed with GGA-PBEsol.

Calculated formation energy = -0.199 eV per atom
Fermi-level density of states = 0.308 states/eV per atom

Cell lengths 4.0409, 4.0409, 5.0595 Å; angles 113.54, 113.54, 90.00 degrees
Atoms (fractional coordinates):
1 Pt 0.2500 0.7500 0.5000
2 In 0.5000 0.5000 0.0000
3 Au 0.7500 0.2500 0.5000
4 Au 0.0000 0.0000 0.0000

---

A relaxed LaScTa2 crystal, computed with GGA-PBEsol.

Calculated formation energy = 0.215 eV per atom
Polymorph energy (0 for the lowest one) = 0.0 meV per atom
Fermi-level density of states = 1.386 states/eV per atom

Cell lengths 3.4426, 3.4426, 7.7648 Å; angles 90.00, 90.00, 90.00 degrees
Atoms (fractional coordinates):
1 Ta 0.5000 0.5000 0.1941
2 Ta 0.0000 0.0000 0.0281
3 Sc 0.5000 0.5000 0.8059
4 La 0.0000 0.0000 0.4720

---

A relaxed CaBe2Au crystal, computed with GGA-PBEsol.

Calculated formation energy = -0.037 eV per atom
Polymorph energy (0 for the lowest one) = 257.7 meV per atom
Fermi-level density of states = 0.513 states/eV per atom

Cell lengths 4.3602, 4.3602, 8.5556 Å; angles 104.76, 104.76, 90.00 degrees
Atoms (fractional coordinates):
1 Be 0.1250 0.8750 0.2500
2 Be 0.6250 0.8750 0.7500
3 Be 0.1250 0.8750 0.7500
4 Be 0.1250 0.3750 0.2500
5 Ca 0.5000 0.5000 0.0000
6 Ca 0.7500 0.2500 0.5000
7 Au 0.0000 0.0000 0.0000
8 Au 0.2500 0.7500 0.5000

---

A relaxed Os2Ru crystal, computed with GGA-PBEsol.

Calculated formation energy = 1.315 eV per atom
Polymorph energy (0 for the lowest one) = 1329.4 meV per atom
Fermi-level density of states = 1.278 states/eV per atom

Cell lengths 2.6546, 4.3325, 4.3325 Å; angles 90.00, 90.00, 90.00 degrees
Atoms (fractional coordinates):
1 Os 0.5000 0.5000 0.0000
2 Os 0.5000 0.0000 0.5000
3 Ru 0.0000 0.0000 0.0000

---

Number 1: raw total energy -11.2 eV per formula unit, spin magnetization 0.00 μB per formula unit. Number 2: raw total energy -10.7 eV per formula unit, spin magnetization 0.00 μB per formula unit. Number 3: raw total energy -10.1 eV per formula unit, spin magnetization 0.00 μB per formula unit. Number 4: raw total energy -93.3 eV per formula unit, spin magnetization 0.00 μB per formula unit. Number 5: raw total energy -20.1 eV per formula unit, spin magnetization 0.00 μB per formula unit. Number 6: raw total energy -14.2 eV per formula unit, spin magnetization 0.00 μB per formula unit. Number 7: raw total energy -18.3 eV per formula unit, spin magnetization 0.00 μB per formula unit. Number 8: raw total energy -23.8 eV per formula unit, spin magnetization 0.00 μB per formula unit. Number 9: raw total energy -18.6 eV per formula unit, spin magnetization 0.00 μB per formula unit. Number 10: raw total energy -36.2 eV per formula unit, spin magnetization 0.00 μB per formula unit. Number 11: raw total energy -14.2 eV per formula unit, spin magnetization 0.00 μB per formula unit. Number 12: raw total energy -30.7 eV per formula unit, spin magnetization 0.00 μB per formula unit.